[1]
## NiPdBr3 (SCAN)

Data for a crystal of NiPdBr3 relaxed with PBEsol.

Properties
* SG: Pm-3m, No. 221
* E_tot: -21.04 eV/atom
* formation energy (no corrections): 203 kJ/mol of formula units

Unit cell a=5.006 b=5.006 c=5.006 alpha=90.00 beta=90.00 gamma=90.00
Fractional coordinates of all 5 atoms:
Ni 0.000 0.000 0.000
Pd 0.500 0.500 0.500
Br 0.000 0.500 0.500
Br 0.500 0.000 0.500
Br 0.500 0.500 0.000

[2]
## Co2MoAu (SCAN)

Data for a crystal of Co2MoAu relaxed with PBEsol.

Properties
* ΔH_f (0 K): 0.255 eV per atom
* SG: Pmm2, No. 25
* E_tot: -34.41 eV/atom

Unit cell a=2.673 b=3.714 c=5.284 alpha=90.00 beta=90.00 gamma=90.00
Fractional coordinates of all 4 atoms:
Co 0.000 0.000 0.000
Co 0.500 0.500 0.219
Mo 0.000 0.000 0.434
Au 0.500 0.500 0.735

[3]
## Bi2S3 (SCAN)

Data for a crystal of Bi2S3 relaxed with PBEsol.

Properties
* SG: Pnma, No. 62
* E_tot: -37.50 eV/atom
* formation energy (no corrections): -139 kJ/mol of formula units

Unit cell a=11.161 b=3.963 c=10.926 alpha=90.00 beta=90.00 gamma=90.00
Fractional coordinates of all 20 atoms:
Bi 0.008 0.250 0.176
Bi 0.166 0.750 0.470
Bi 0.334 0.250 0.970
Bi 0.492 0.750 0.676
Bi 0.508 0.250 0.324
Bi 0.666 0.750 0.030
Bi 0.834 0.250 0.530
Bi 0.992 0.750 0.824
S 0.049 0.250 0.630
S 0.123 0.750 0.056
S 0.218 0.250 0.306
S 0.282 0.750 0.806
S 0.377 0.250 0.556
S 0.451 0.750 0.130
S 0.549 0.250 0.870
S 0.623 0.750 0.444
S 0.718 0.250 0.194
S 0.782 0.750 0.694
S 0.877 0.250 0.944
S 0.951 0.750 0.370

- E_tot of number 2 (Co2MoAu)?
  -34.41 eV/atom

- Which of these has the highest E_tot?
  NiPdBr3

- Among the records above, which one has the highest E_tot?
  NiPdBr3